(1)
Compound: Dy4CdPd15
Source: the Alexandria database
Functional: PBE-GGA
Structure: optimized geometry

Structure (extended XYZ):
```
20
Lattice="4.095 0.000 0.000 0.000 4.095 0.000 0.000 0.000 20.591" Properties=species:S:1:pos:R:3 pbc="T T T"
Dy 0.000 0.000 2.076
Dy 0.000 0.000 6.239
Dy 0.000 0.000 14.352
Dy 0.000 0.000 18.515
Cd 0.000 0.000 10.295
Pd 0.000 2.048 0.000
Pd 0.000 2.048 4.153
Pd 0.000 2.048 8.295
Pd 0.000 2.048 12.296
Pd 0.000 2.048 16.438
Pd 2.048 0.000 0.000
Pd 2.048 0.000 4.153
Pd 2.048 0.000 8.295
Pd 2.048 0.000 12.296
Pd 2.048 0.000 16.438
Pd 2.048 2.048 2.086
Pd 2.048 2.048 6.218
Pd 2.048 2.048 10.295
Pd 2.048 2.048 14.373
Pd 2.048 2.048 18.505
```

As for the formation energy: -0.7500 eV per atom.



(2)
Compound: DyCd2Pd3
Source: the Alexandria database
Functional: PBE-GGA
Structure: optimized geometry

Structure (extended XYZ):
```
12
Lattice="4.747 0.000 0.000 -2.373 4.111 0.000 0.000 0.000 11.564" Properties=species:S:1:pos:R:3 pbc="T T T"
Dy 0.000 2.740 1.959
Dy 2.373 1.370 9.605
Cd 0.000 0.000 0.000
Cd 0.000 0.000 5.782
Cd 0.000 2.740 7.661
Cd 2.373 1.370 3.903
Pd 0.000 0.000 2.978
Pd 0.000 0.000 8.587
Pd 0.000 2.740 4.830
Pd 0.000 2.740 10.585
Pd 2.373 1.370 0.979
Pd 2.373 1.370 6.735
```

As for the formation energy: -0.6159 eV per atom.



(3)
Compound: DyCd2Pd7
Source: the Alexandria database
Functional: PBE-GGA
Structure: optimized geometry

Structure (extended XYZ):
```
10
Lattice="3.626 -6.997 0.000 3.626 6.997 0.000 0.000 0.000 4.379" Properties=species:S:1:pos:R:3 pbc="T T T"
Dy 0.000 0.000 0.000
Cd 3.626 2.829 2.189
Cd 3.626 -2.829 2.189
Pd 1.335 1.440 2.189
Pd 3.626 4.352 0.000
Pd 1.335 -1.440 2.189
Pd 3.626 0.000 2.189
Pd 5.917 1.440 2.189
Pd 3.626 -4.352 0.000
Pd 5.917 -1.440 2.189
```

As for the formation energy: -0.0472 eV per atom.



(4)
Compound: Dy5Cd2Pd2
Source: the Alexandria database
Functional: PBE-GGA
Structure: optimized geometry

Structure (extended XYZ):
```
18
Lattice="8.025 -3.853 0.000 8.025 3.853 0.000 0.000 0.000 7.610" Properties=species:S:1:pos:R:3 pbc="T T T"
Dy 0.000 0.000 0.000
Dy 6.055 2.476 5.123
Dy 6.055 1.377 1.318
Dy 9.994 2.476 5.123
Dy 9.994 1.377 1.318
Dy 8.025 0.000 3.805
Dy 6.055 -1.377 6.292
Dy 6.055 -2.476 2.487
Dy 9.994 -1.377 6.292
Dy 9.994 -2.476 2.487
Cd 3.490 0.000 0.000
Cd 4.535 0.000 3.805
Cd 11.514 0.000 3.805
Cd 12.560 0.000 0.000
Pd 8.025 2.858 2.826
Pd 8.025 0.994 6.630
Pd 8.025 -0.994 0.979
Pd 8.025 -2.858 4.784
```

As for the formation energy: -0.4897 eV per atom.